1.
Density functional theory data (PBE-GGA) for ZrUBi after structural relaxation.

a b c (Å): 3.2324 3.2324 17.7635
angles (deg): 90.00 90.00 120.00
With the nearest neighbours (Å) after each atom.
Space group P-3m1 (No. 164)
One atom of each set of equivalent atoms:
Zr (0.3333, 0.6667, 0.0733)  9 Zr 3.20-3.23, 3 U 3.30
U (0.3333, 0.6667, 0.7736)  6 U 3.23, 3 Zr 3.30, 3 Bi 3.43
Bi (0.0000, 0.0000, 0.3886)  6 Bi 3.23, 3 U 3.43

magnetization: 4.17 μB per cell
total energy: -46.08 eV for the cell shown
calculated formation energy: 0.226 eV/atom

***

2.
Density functional theory data (PBE-GGA) for LaZnB after structural relaxation.

a b c (Å): 4.0749 4.1566 7.2923
angles (deg): 100.88 106.17 90.00
With the nearest neighbours (Å) after each atom.
Space group P-1 (No. 2)
One atom of each set of equivalent atoms:
La (0.1029, 0.3991, 0.2034)  6 B 2.91-3.13, 1 La 3.12, 4 Zn 3.17-3.22
Zn (0.3015, 0.0281, 0.6036)  1 B 2.14
B (0.4566, 0.1018, 0.9146)  1 B 1.60

magnetization: 0.00 μB per cell
total energy: -26.93 eV for the cell shown
calculated formation energy: -0.195 eV/atom
energy above the most stable polymorph in this dataset: 0.1082 eV/atom

***

3.
Density functional theory data (PBE-GGA) for Ce4Ge12Rh after structural relaxation.

a b c (Å): 8.7581 8.7581 8.7581
angles (deg): 90.00 90.00 90.00
With the nearest neighbours (Å) after each atom.
Space group Im-3m (No. 229)
One atom of each set of equivalent atoms:
Ce (0.2500, 0.2500, 0.2500)  12 Ge 3.10-3.12
Ge (0.0000, 0.0000, 0.2925)  1 Rh 2.56, 4 Ge 2.85
Ge (0.0000, 0.2500, 0.5000)  8 Ge 2.85-3.10, 4 Ce 3.10
Rh (0.0000, 0.0000, 0.0000)  6 Ge 2.56

magnetization: 0.07 μB per cell
total energy: -190.63 eV for the cell shown
calculated formation energy: -0.519 eV/atom

***

4.
Density functional theory data (PBE-GGA) for CsMgCd2 after structural relaxation.

a b c (Å): 5.0698 5.0698 21.0724
angles (deg): 90.00 90.00 120.00
With the nearest neighbours (Å) after each atom.
Space group R-3m (No. 166, hexagonal axes)
One atom of each set of equivalent atoms:
Cs (0.0000, 0.0000, 0.0000)  8 Cd 3.89-4.29
Mg (0.0000, 0.0000, 0.5000)  6 Cd 2.95
Cd (0.0000, 0.0000, 0.1845)  3 Mg 2.95, 3 Cd 3.02

magnetization: 0.00 μB per cell
total energy: -13.47 eV for the cell shown
calculated formation energy: -0.053 eV/atom

***

5.
Density functional theory data (PBE-GGA) for Ac3PbCl after structural relaxation.

a b c (Å): 5.7054 5.7054 5.7054
angles (deg): 90.00 90.00 90.00
With the nearest neighbours (Å) after each atom.
Space group Pm-3m (No. 221)
One atom of each set of equivalent atoms:
Ac (0.0000, 0.0000, 0.5000)  2 Cl 2.85
Pb (0.5000, 0.5000, 0.5000)  12 Ac 4.03
Cl (0.0000, 0.0000, 0.0000)  6 Ac 2.85

magnetization: 0.00 μB per cell
total energy: -20.62 eV for the cell shown
raw formation energy: -0.549 eV per atom

***

6.
Density functional theory data (PBE-GGA) for Li2TlInH after structural relaxation.

a b c (Å): 4.3008 4.3008 4.9637
angles (deg): 90.00 90.00 90.00
With the nearest neighbours (Å) after each atom.
Space group P4/mmm (No. 123)
One atom of each set of equivalent atoms:
Li (0.0000, 0.5000, 0.0000)  2 H 2.15
Tl (0.0000, 0.0000, 0.5000)  2 H 2.48
In (0.5000, 0.5000, 0.5000)  4 Tl 3.04, 8 Li 3.28
H (0.0000, 0.0000, 0.0000)  4 Li 2.15

magnetization: 0.00 μB per cell
total energy: -12.63 eV for the cell shown
energy above the most stable polymorph in this dataset: 0.0305 eV/atom